Compound: Mg5Ag2Sn2Au
Source: Alexandria
Functional: GGA-PBE
Structure: optimized geometry

Unit cell a=11.043 b=11.043 c=3.533 alpha=90.00 beta=90.00 gamma=90.00
Atoms (fractional coordinates):
Mg  0.000  0.500  0.000
Mg  0.037  0.196  0.000
Mg  0.196  0.963  0.000
Mg  0.304  0.463  0.000
Mg  0.463  0.696  0.000
Mg  0.500  0.000  0.000
Mg  0.537  0.304  0.000
Mg  0.696  0.537  0.000
Mg  0.804  0.037  0.000
Mg  0.963  0.804  0.000
Ag  0.136  0.364  0.500
Ag  0.364  0.864  0.500
Ag  0.636  0.136  0.500
Ag  0.864  0.636  0.500
Sn  0.176  0.676  0.500
Sn  0.324  0.176  0.500
Sn  0.676  0.824  0.500
Sn  0.824  0.324  0.500
Au  0.000  0.000  0.500
Au  0.500  0.500  0.500

Values from the calculation:
DFT total energy in eV per atom: -2.6947
Fermi-level density of states in states/eV per cell: 8.78
Symmetry: No. 127